Record 1
Computed, not measured: crystalline CsMnC3N3 at its relaxed geometry at the GGA-PBEsol level of DFT.

Computed properties:
Energy relative to the elements, uncorrected (eV per formula unit): -1.5
Calculated volume (Å³/atom): 15.44
Electronic total energy (eV/cell): -133.4

Geometry as POSCAR:
```
CsMnC3N3
1.0
7.043 0.000 0.000
3.522 6.099 0.000
3.522 2.033 5.751
Cs N C Mn
2 6 6 2
Cartesian
3.522 2.033 1.438
10.565 6.099 4.313
7.043 2.509 1.774
8.392 4.845 1.774
7.043 5.623 3.976
5.695 3.288 3.976
5.695 4.845 1.774
8.392 3.288 3.976
7.043 6.592 4.662
9.231 2.803 4.662
7.043 1.540 1.089
9.231 5.329 1.089
4.855 5.329 1.089
4.855 2.803 4.662
7.043 4.066 2.875
0.000 0.000 0.000
```

***

Record 2
Computed, not measured: crystalline Cs2NaC6N9 at its relaxed geometry at the GGA-PBEsol level of DFT.

Computed properties:
Energy relative to the elements, uncorrected (eV per formula unit): -1.9
Calculated volume (Å³/atom): 17.38
Electronic total energy (eV/cell): -279.6

Geometry as POSCAR:
```
Cs2NaC6N9
1.0
-2.507 -5.749 -3.063
5.956 2.847 -2.266
7.645 -8.411 9.528
N C Cs Na
18 12 4 2
Cartesian
0.563 -6.042 -0.013
2.981 -4.925 2.554
10.445 -8.954 4.551
8.113 -6.389 1.645
0.649 -2.359 -0.352
11.322 -6.032 6.427
10.531 -5.272 4.212
8.428 -7.958 3.528
8.337 -7.842 7.224
2.104 -7.847 0.678
2.757 -3.471 -3.025
5.089 -6.036 -0.119
-0.228 -5.281 -2.228
3.446 -5.563 -1.904
8.990 -3.467 3.521
7.648 -5.750 6.103
6.005 -5.277 4.318
2.666 -3.355 0.671
1.574 -2.872 0.179
10.903 -5.623 5.399
6.778 -5.571 5.165
4.316 -5.743 -0.966
2.762 -4.180 1.660
7.967 -6.878 6.646
1.380 -6.998 0.282
9.714 -4.315 3.917
9.520 -8.441 4.020
3.127 -4.435 -2.447
8.332 -7.133 2.539
0.191 -5.690 -1.200
4.634 -7.636 2.587
3.632 -0.566 -1.912
6.460 -3.677 1.612
7.462 -10.747 6.111
0.000 0.000 0.000
3.823 -4.205 4.764
```

***

Record 3
Computed, not measured: crystalline CsCNO at its relaxed geometry at the GGA-PBEsol level of DFT.

Computed properties:
Energy relative to the elements, uncorrected (eV per formula unit): -3.9
Calculated volume (Å³/atom): 20.63
Electronic total energy (eV/cell): -56.6

Geometry as POSCAR:
```
CsCNO
1.0
-0.660 4.845 -3.542
-4.212 -0.579 4.287
4.900 0.000 3.529
N Cs O C
2 2 2 2
Cartesian
-1.263 4.272 2.407
0.161 0.982 2.038
-3.668 3.211 0.560
0.888 3.501 0.181
-2.254 0.851 2.241
3.420 2.418 1.858
-1.031 0.922 2.139
-0.701 0.617 6.046
```